[1]
Compound: SmScPt2
Source: Alexandria
Functional: PBE
Structure: relaxed

## Properties
* relative energy among the computed polymorphs: 30.3 meV per atom
* raw total energy: -6.929 eV per atom

a = 3.3628 Å, b = 3.3628 Å, c = 7.1351 Å
α = 90.00°, β = 90.00°, γ = 90.00°
Last column: nearest neighbours and their distance in Å.
Fractional coordinates of all 4 atoms:
1 Sc 0.5000 0.5000 0.0000  8 Pt 2.84
2 Sm 0.5000 0.5000 0.5000  8 Pt 3.11, 4 Sm 3.36
3 Pt 0.0000 0.0000 0.7816  4 Sc 2.84, 4 Sm 3.11, 1 Pt 3.12
4 Pt 0.0000 0.0000 0.2184  4 Sc 2.84, 4 Sm 3.11, 1 Pt 3.12

=====

[2]
Compound: SmScPt2
Source: Alexandria
Functional: PBE
Structure: relaxed

## Properties
* relative energy among the computed polymorphs: 24.5 meV per atom
* raw total energy: -6.934 eV per atom

a = 3.6958 Å, b = 4.4415 Å, c = 5.5278 Å
α = 90.00°, β = 109.60°, γ = 90.00°
Last column: nearest neighbours and their distance in Å.
Fractional coordinates of all 4 atoms:
1 Sm 0.4421 0.5000 0.4237  7 Pt 2.82-3.02
2 Sc 0.7191 0.0000 0.9773  7 Pt 2.90-2.96
3 Pt 0.1725 0.5000 0.8831  3 Sm 2.82-3.02, 2 Pt 2.87, 4 Sc 2.93
4 Pt 0.9973 0.0000 0.5339  2 Pt 2.87, 3 Sc 2.90-2.96, 4 Sm 2.95

=====

Number 1: ΔE_f -1146 meV per atom. Number 2: ΔE_f -1151 meV per atom.